[1]
Density functional theory data (PBE) for a geometry-optimized TbSm5Th2 structure.

a b c (Å): 9.237 9.237 9.237
angles (deg): 122.20 122.20 86.23
Sites, in units of the cell vectors:
Tb (0.250, 0.250, 0.000)
Tb (0.750, 0.750, 0.000)
Sm (0.000, 0.000, 0.000)
Sm (0.009, 0.509, 0.196)
Sm (0.186, 0.991, 0.500)
Sm (0.314, 0.814, 0.804)
Sm (0.491, 0.686, 0.500)
Sm (0.500, 0.500, 0.000)
Sm (0.509, 0.314, 0.500)
Sm (0.686, 0.186, 0.196)
Sm (0.814, 0.009, 0.500)
Sm (0.991, 0.491, 0.804)
Th (0.141, 0.359, 0.500)
Th (0.359, 0.859, 0.219)
Th (0.641, 0.141, 0.781)
Th (0.859, 0.641, 0.500)

As for the density of states at the Fermi level: 24.5 states/eV per cell. For the calculated total energy, the calculation gives -5.235 eV/atom. The value obtained for the formation energy from the elements is 3.42 kcal/mol of atoms.



[2]
Density functional theory data (PBE) for a geometry-optimized Tb2Sm7Th2 structure.

a b c (Å): 8.071 8.071 6.155
angles (deg): 105.57 105.57 91.45
Sites, in units of the cell vectors:
Tb (0.221, 0.779, 0.000)
Tb (0.779, 0.221, 0.000)
Sm (0.000, 0.000, 0.500)
Sm (0.062, 0.587, 0.330)
Sm (0.236, 0.236, 0.086)
Sm (0.413, 0.938, 0.670)
Sm (0.587, 0.062, 0.330)
Sm (0.764, 0.764, 0.914)
Sm (0.938, 0.413, 0.670)
Th (0.422, 0.422, 0.695)
Th (0.578, 0.578, 0.305)

As for the density of states at the Fermi level: 16.7 states/eV per cell. For the calculated total energy, the calculation gives -5.017 eV/atom. The value obtained for the formation energy from the elements is 4.08 kcal/mol of atoms.



[3]
Density functional theory data (PBE) for a geometry-optimized Tb7Sm4Th structure.

a b c (Å): 7.159 8.016 8.018
angles (deg): 95.85 116.50 102.73
Sites, in units of the cell vectors:
Tb (0.000, 0.000, 0.000)
Tb (0.252, 0.000, 0.505)
Tb (0.254, 0.329, 0.836)
Tb (0.500, 0.330, 0.330)
Tb (0.500, 0.670, 0.670)
Tb (0.746, 0.671, 0.164)
Tb (0.748, 0.000, 0.495)
Sm (0.006, 0.669, 0.671)
Sm (0.254, 0.671, 0.166)
Sm (0.746, 0.329, 0.834)
Sm (0.994, 0.331, 0.329)
Th (0.500, 0.000, 0.000)

As for the density of states at the Fermi level: 16.2 states/eV per cell. For the calculated total energy, the calculation gives -4.873 eV/atom. The value obtained for the formation energy from the elements is 0.44 kcal/mol of atoms.



[4]
Density functional theory data (PBE) for a geometry-optimized Tb6Sm10Th structure.

a b c (Å): 9.767 9.767 6.933
angles (deg): 90.00 90.00 120.00
Sites, in units of the cell vectors:
Tb (0.000, 0.371, 0.192)
Tb (0.000, 0.629, 0.808)
Tb (0.371, 0.000, 0.192)
Tb (0.371, 0.371, 0.808)
Tb (0.629, 0.000, 0.808)
Tb (0.629, 0.629, 0.192)
Sm (0.000, 0.275, 0.682)
Sm (0.000, 0.725, 0.318)
Sm (0.275, 0.000, 0.682)
Sm (0.275, 0.275, 0.318)
Sm (0.333, 0.667, 0.000)
Sm (0.333, 0.667, 0.500)
Sm (0.667, 0.333, 0.000)
Sm (0.667, 0.333, 0.500)
Sm (0.725, 0.000, 0.318)
Sm (0.725, 0.725, 0.682)
Th (0.000, 0.000, 0.000)

As for the density of states at the Fermi level: 25.4 states/eV per cell. For the calculated total energy, the calculation gives -4.699 eV/atom. The value obtained for the formation energy from the elements is 3.41 kcal/mol of atoms.